# 1
First-principles (GGA-PBE) data for a relaxed SiTcAsRu crystal, as listed in Alexandria.

Unit cell a=4.2572 b=4.2572 c=4.2572 alpha=60.00 beta=60.00 gamma=60.00
With the nearest neighbours (Å) after each atom.
Atoms (fractional coordinates):
Ru1 0.0000 0.0000 0.0000  4 As 2.61, 4 Si 2.61
As1 0.2500 0.2500 0.2500  4 Tc 2.61, 4 Ru 2.61
Si1 0.7500 0.7500 0.7500  4 Tc 2.61, 4 Ru 2.61
Tc1 0.5000 0.5000 0.5000  4 As 2.61, 4 Si 2.61

Calculated values
Uncorrected energy = -7.722 eV per atom
Raw formation energy = -1.175 eV per formula unit
Crystal system = cubic



# 2
First-principles (GGA-PBE) data for a relaxed BeAg2W crystal, as listed in Alexandria.

Unit cell a=5.5049 b=5.5049 c=5.5049 alpha=151.59 beta=129.23 gamma=59.20
With the nearest neighbours (Å) after each atom.
Atoms (fractional coordinates):
Be1 0.5013 0.5013 0.0000  2 Ag 2.43, 2 W 2.45, 2 Be 2.70
Ag1 0.9987 0.9987 0.0000  2 Ag 2.70, 4 Be 2.72
Ag2 0.7118 0.2118 0.5000  2 Be 2.43, 2 Ag 2.70
W1 0.2881 0.7881 0.5000  2 Be 2.45, 2 W 2.70

Calculated values
Calculated formation energy = 0.595 eV/atom
Uncorrected energy = -5.000 eV per atom
Crystal system = orthorhombic



# 3
First-principles (GGA-PBE) data for a relaxed VB2RuN crystal, as listed in Alexandria.

Unit cell a=3.8286 b=4.8218 c=3.8286 alpha=90.00 beta=90.00 gamma=90.00
With the nearest neighbours (Å) after each atom.
Atoms (fractional coordinates):
Ru1 0.0000 0.0000 0.0000  4 B 1.91
B1 0.0000 0.0000 0.5000  2 Ru 1.91
B2 0.5000 0.0000 0.0000  2 Ru 1.91
N1 0.5000 0.5000 0.5000  4 V 2.71
V1 0.0000 0.5000 0.0000  2 Ru 2.41

Calculated values
Uncorrected energy = -6.251 eV per atom
Raw formation energy = 8.821 eV per formula unit
Crystal system = tetragonal



# 4
First-principles (GGA-PBE) data for a relaxed Ca3AcPr2Se6 crystal, as listed in Alexandria.

Unit cell a=7.3483 b=7.3483 c=7.4922 alpha=99.43 beta=99.43 gamma=119.94
With the nearest neighbours (Å) after each atom.
Atoms (fractional coordinates):
Ca1 0.1657 0.8343 0.5000  6 Se 2.94-2.99
Ca2 0.8343 0.1657 0.5000  6 Se 2.94-2.99
Ca3 0.5000 0.5000 0.5000  6 Se 2.94-2.99
Ac1 0.0000 0.0000 0.0000  6 Se 3.11
Pr1 0.3339 0.6661 0.0000  6 Se 3.05-3.06
Pr2 0.6661 0.3339 0.0000  6 Se 3.05-3.06
Se1 0.9127 0.5733 0.7375  3 Ca 2.94-2.99, 2 Pr 3.06, 1 Ac 3.11
Se2 0.7487 0.7487 0.2627  3 Ca 2.94-2.98, 2 Pr 3.05, 1 Ac 3.11
Se3 0.0873 0.4267 0.2625  3 Ca 2.94-2.99, 2 Pr 3.06, 1 Ac 3.11
Se4 0.5733 0.9127 0.7375  3 Ca 2.94-2.99, 2 Pr 3.06, 1 Ac 3.11
Se5 0.2513 0.2513 0.7373  3 Ca 2.94-2.98, 2 Pr 3.05, 1 Ac 3.11
Se6 0.4267 0.0873 0.2625  3 Ca 2.94-2.99, 2 Pr 3.06, 1 Ac 3.11

Calculated values
Uncorrected energy = -5.286 eV per atom
Raw formation energy = -22.853 eV per formula unit
Crystal system = monoclinic



# 5
First-principles (GGA-PBE) data for a relaxed KPmCdBi crystal, as listed in Alexandria.

Unit cell a=5.6711 b=5.6711 c=5.6711 alpha=60.00 beta=60.00 gamma=60.00
With the nearest neighbours (Å) after each atom.
Atoms (fractional coordinates):
K1 0.7500 0.7500 0.7500  4 Bi 3.47, 4 Cd 3.47
Cd1 0.5000 0.5000 0.5000  4 K 3.47, 4 Pm 3.47
Bi1 0.0000 0.0000 0.0000  4 Pm 3.47, 4 K 3.47
Pm1 0.2500 0.2500 0.2500  4 Cd 3.47, 4 Bi 3.47

Calculated values
Calculated formation energy = -0.248 eV/atom
Uncorrected energy = -2.909 eV per atom
Crystal system = cubic



# 6
First-principles (GGA-PBE) data for a relaxed Pr4MgAl2 crystal, as listed in Alexandria.

Unit cell a=5.3202 b=5.3202 c=9.0470 alpha=72.90 beta=72.90 gamma=60.00
With the nearest neighbours (Å) after each atom.
Atoms (fractional coordinates):
Pr1 0.8678 0.8678 0.3966  4 Al 3.19-3.39, 1 Mg 3.38, 3 Pr 3.54
Pr2 0.1322 0.1322 0.6034  4 Al 3.19-3.39, 1 Mg 3.38, 3 Pr 3.54
Pr3 0.6149 0.6149 0.1553  4 Al 3.13-3.26, 3 Mg 3.34
Pr4 0.3851 0.3851 0.8447  4 Al 3.13-3.26, 3 Mg 3.34
Mg1 0.0000 0.0000 0.0000  8 Pr 3.34-3.38, 6 Al 3.63
Al1 0.7427 0.7427 0.7720  8 Pr 3.13-3.39
Al2 0.2573 0.2573 0.2280  8 Pr 3.13-3.39

Calculated values
Calculated formation energy = -0.187 eV/atom
Uncorrected energy = -4.215 eV per atom
Crystal system = trigonal
Polymorph energy (0 for the lowest one) = 0.00 kJ per mole of atoms



# 7
First-principles (GGA-PBE) data for a relaxed NaLaHg crystal, as listed in Alexandria.

Unit cell a=3.5201 b=5.3089 c=5.3089 alpha=120.00 beta=90.00 gamma=90.00
With the nearest neighbours (Å) after each atom.
Atoms (fractional coordinates):
Na1 0.4998 0.3333 0.6667  3 Hg 3.07
Hg1 0.5004 0.6667 0.3333  3 Na 3.07
La1 0.9998 0.0000 0.0000  2 La 3.52, 6 Hg 3.53-3.54, 6 Na 3.53

Calculated values
Calculated formation energy = -0.161 eV/atom
Uncorrected energy = -2.343 eV per atom
Crystal system = hexagonal
Polymorph energy (0 for the lowest one) = 0.00 kJ per mole of atoms



# 8
First-principles (GGA-PBE) data for a relaxed Tl6Br5Cl crystal, as listed in Alexandria.

Unit cell a=8.2124 b=8.2124 c=8.2091 alpha=99.59 beta=99.59 gamma=120.03
With the nearest neighbours (Å) after each atom.
Atoms (fractional coordinates):
Tl1 0.4080 0.0816 0.2461  1 Cl 3.29, 5 Br 3.34-3.38
Tl2 0.9184 0.5920 0.7539  1 Cl 3.29, 5 Br 3.34-3.38
Tl3 0.2431 0.2431 0.7537  1 Cl 3.28, 5 Br 3.35-3.42
Tl4 0.7569 0.7569 0.2463  1 Cl 3.28, 5 Br 3.35-3.42
Tl5 0.0816 0.4080 0.2461  1 Cl 3.29, 5 Br 3.34-3.38
Tl6 0.5920 0.9184 0.7539  1 Cl 3.29, 5 Br 3.34-3.38
Br1 0.8296 0.1704 0.5000  6 Tl 3.34-3.38
Br2 0.6648 0.3352 0.0000  6 Tl 3.35-3.38
Br3 0.5000 0.5000 0.5000  6 Tl 3.35-3.42
Br4 0.3352 0.6648 0.0000  6 Tl 3.35-3.38
Br5 0.1704 0.8296 0.5000  6 Tl 3.34-3.38
Cl1 0.0000 0.0000 0.0000  6 Tl 3.28-3.29

Calculated values
Uncorrected energy = -2.921 eV per atom
Raw formation energy = -10.644 eV per formula unit
Crystal system = monoclinic



# 9
First-principles (GGA-PBE) data for a relaxed RbU3Tl2Se8 crystal, as listed in Alexandria.

Unit cell a=8.4918 b=8.4918 c=9.4800 alpha=63.39 beta=63.39 gamma=60.00
With the nearest neighbours (Å) after each atom.
Atoms (fractional coordinates):
Rb1 0.8614 0.8614 0.4159  4 Se 3.27
U1 0.4992 0.0007 0.0008  6 Se 2.78-2.87
U2 0.0007 0.4992 0.0008  6 Se 2.78-2.87
U3 0.4992 0.4992 0.0008  6 Se 2.78-2.87
Tl1 0.1243 0.1243 0.6271  3 Se 3.07
Tl2 0.5064 0.5064 0.4807  6 Se 3.27-3.49
Se1 0.2710 0.2710 0.1869  3 U 2.87
Se2 0.7268 0.7268 0.8195  3 U 2.87
Se3 0.2449 0.2449 0.8113  2 U 2.80, 1 Tl 3.07
Se4 0.6990 0.2449 0.8113  2 U 2.80, 1 Tl 3.07
Se5 0.2449 0.6990 0.8113  2 U 2.80, 1 Tl 3.07
Se6 0.7556 0.3035 0.1852  2 U 2.78
Se7 0.3035 0.7556 0.1852  2 U 2.78
Se8 0.7556 0.7556 0.1852  2 U 2.78

Calculated values
Uncorrected energy = -5.814 eV per atom
Raw formation energy = -13.954 eV per formula unit
Crystal system = trigonal



# 10
First-principles (GGA-PBE) data for a relaxed Zn2CrRe crystal, as listed in Alexandria.

Unit cell a=4.3248 b=2.5795 c=5.0648 alpha=76.48 beta=90.00 gamma=90.00
With the nearest neighbours (Å) after each atom.
Atoms (fractional coordinates):
Cr1 0.5000 0.2500 0.2500  2 Re 2.56, 2 Cr 2.58, 4 Zn 2.63
Re1 0.5000 0.7500 0.7500  2 Cr 2.56, 2 Re 2.58, 4 Zn 2.69
Zn1 0.0000 0.0198 0.0055  4 Zn 2.54-2.58, 2 Cr 2.63, 2 Re 2.69
Zn2 0.0000 0.4802 0.4945  4 Zn 2.54-2.58, 2 Cr 2.63, 2 Re 2.69

Calculated values
Calculated formation energy = 0.245 eV/atom
Uncorrected energy = -5.910 eV per atom
Crystal system = monoclinic
Polymorph energy (0 for the lowest one) = 12.90 kJ per mole of atoms



no.,total moment (Bohr magnetons per cell)
1,0.00
2,0.00
3,0.00
4,0.00
5,0.00
6,0.00
7,0.19
8,0.00
9,5.00
10,0.58